# 1
Hf12Al5Si3 after structural relaxation. Source: the Alexandria database, functional PBE.

Computed properties:
Energy ... -143.79 eV/f.u.
E_form (uncorrected) ... 0.53 eV per atom

a b c (Å): 13.6348 13.6348 13.6348
angles (deg): 109.47 109.47 109.47
Closest atoms and distances in Å follow each position.
Element x y z (fractional)
Hf (0.0651, 0.2271, 0.1373)  2 Al 2.66-2.67, 2 Si 2.75-2.94, 1 Hf 2.92
Hf (0.0651, 0.3380, 0.9278)  2 Al 2.66-2.67, 2 Si 2.75-2.94, 1 Hf 2.92
Hf (0.0722, 0.6373, 0.4102)  2 Al 2.66-2.67, 2 Si 2.75-2.94, 1 Hf 2.92
Hf (0.0722, 0.9349, 0.6620)  2 Al 2.66-2.67, 2 Si 2.75-2.94, 1 Hf 2.92
Hf (0.0898, 0.7271, 0.6620)  2 Al 2.66-2.67, 2 Si 2.75-2.94, 1 Hf 2.92
Hf (0.0898, 0.8627, 0.4278)  2 Al 2.66-2.67, 2 Si 2.75-2.94, 1 Hf 2.92
Hf (0.1373, 0.0651, 0.2271)  2 Al 2.66-2.67, 2 Si 2.75-2.94, 1 Hf 2.92
Hf (0.1373, 0.5722, 0.9102)  2 Al 2.66-2.67, 2 Si 2.75-2.94, 1 Hf 2.92
Hf (0.1620, 0.2271, 0.5898)  2 Al 2.66-2.67, 2 Si 2.75-2.94, 1 Hf 2.92
Hf (0.1620, 0.4349, 0.5722)  2 Al 2.66-2.67, 2 Si 2.75-2.94, 1 Hf 2.92
Hf (0.2271, 0.1373, 0.0651)  2 Al 2.66-2.67, 2 Si 2.75-2.94, 1 Hf 2.92
Hf (0.2271, 0.5898, 0.1620)  2 Al 2.66-2.67, 2 Si 2.75-2.94, 1 Hf 2.92
Hf (0.2729, 0.3380, 0.9102)  2 Al 2.66-2.67, 2 Si 2.75-2.94, 1 Hf 2.92
Hf (0.2729, 0.4349, 0.3627)  2 Al 2.66-2.67, 2 Si 2.75-2.94, 1 Hf 2.92
Hf (0.3380, 0.9102, 0.2729)  2 Al 2.66-2.67, 2 Si 2.75-2.94, 1 Hf 2.92
Hf (0.3380, 0.9278, 0.0651)  2 Al 2.66-2.67, 2 Si 2.75-2.94, 1 Hf 2.92
Hf (0.3627, 0.2729, 0.4349)  2 Al 2.66-2.67, 2 Si 2.75-2.94, 1 Hf 2.92
Hf (0.3627, 0.5898, 0.9278)  2 Al 2.66-2.67, 2 Si 2.75-2.94, 1 Hf 2.92
Hf (0.4102, 0.0722, 0.6373)  2 Al 2.66-2.67, 2 Si 2.75-2.94, 1 Hf 2.92
Hf (0.4102, 0.8380, 0.7729)  2 Al 2.66-2.67, 2 Si 2.75-2.94, 1 Hf 2.92
Hf (0.4278, 0.0898, 0.8627)  2 Al 2.66-2.67, 2 Si 2.75-2.94, 1 Hf 2.92
Hf (0.4278, 0.8380, 0.5651)  2 Al 2.66-2.67, 2 Si 2.75-2.94, 1 Hf 2.92
Hf (0.4349, 0.3627, 0.2729)  2 Al 2.66-2.67, 2 Si 2.75-2.94, 1 Hf 2.92
Hf (0.4349, 0.5722, 0.1620)  2 Al 2.66-2.67, 2 Si 2.75-2.94, 1 Hf 2.92
Hf (0.5651, 0.4278, 0.8380)  2 Al 2.66-2.67, 2 Si 2.75-2.94, 1 Hf 2.92
Hf (0.5651, 0.6373, 0.7271)  2 Al 2.66-2.67, 2 Si 2.75-2.94, 1 Hf 2.92
Hf (0.5722, 0.1620, 0.4349)  2 Al 2.66-2.67, 2 Si 2.75-2.94, 1 Hf 2.92
Hf (0.5722, 0.9102, 0.1373)  2 Al 2.66-2.67, 2 Si 2.75-2.94, 1 Hf 2.92
Hf (0.5898, 0.1620, 0.2271)  2 Al 2.66-2.67, 2 Si 2.75-2.94, 1 Hf 2.92
Hf (0.5898, 0.9278, 0.3627)  2 Al 2.66-2.67, 2 Si 2.75-2.94, 1 Hf 2.92
Hf (0.6373, 0.4102, 0.0722)  2 Al 2.66-2.67, 2 Si 2.75-2.94, 1 Hf 2.92
Hf (0.6373, 0.7271, 0.5651)  2 Al 2.66-2.67, 2 Si 2.75-2.94, 1 Hf 2.92
Hf (0.6620, 0.0722, 0.9349)  2 Al 2.66-2.67, 2 Si 2.75-2.94, 1 Hf 2.92
Hf (0.6620, 0.0898, 0.7271)  2 Al 2.66-2.67, 2 Si 2.75-2.94, 1 Hf 2.92
Hf (0.7271, 0.5651, 0.6373)  2 Al 2.66-2.67, 2 Si 2.75-2.94, 1 Hf 2.92
Hf (0.7271, 0.6620, 0.0898)  2 Al 2.66-2.67, 2 Si 2.75-2.94, 1 Hf 2.92
Hf (0.7729, 0.4102, 0.8380)  2 Al 2.66-2.67, 2 Si 2.75-2.94, 1 Hf 2.92
Hf (0.7729, 0.8627, 0.9349)  2 Al 2.66-2.67, 2 Si 2.75-2.94, 1 Hf 2.92
Hf (0.8380, 0.5651, 0.4278)  2 Al 2.66-2.67, 2 Si 2.75-2.94, 1 Hf 2.92
Hf (0.8380, 0.7729, 0.4102)  2 Al 2.66-2.67, 2 Si 2.75-2.94, 1 Hf 2.92
Hf (0.8627, 0.4278, 0.0898)  2 Al 2.66-2.67, 2 Si 2.75-2.94, 1 Hf 2.92
Hf (0.8627, 0.9349, 0.7729)  2 Al 2.66-2.67, 2 Si 2.75-2.94, 1 Hf 2.92
Hf (0.9102, 0.1373, 0.5722)  2 Al 2.66-2.67, 2 Si 2.75-2.94, 1 Hf 2.92
Hf (0.9102, 0.2729, 0.3380)  2 Al 2.66-2.67, 2 Si 2.75-2.94, 1 Hf 2.92
Hf (0.9278, 0.0651, 0.3380)  2 Al 2.66-2.67, 2 Si 2.75-2.94, 1 Hf 2.92
Hf (0.9278, 0.3627, 0.5898)  2 Al 2.66-2.67, 2 Si 2.75-2.94, 1 Hf 2.92
Hf (0.9349, 0.6620, 0.0722)  2 Al 2.66-2.67, 2 Si 2.75-2.94, 1 Hf 2.92
Hf (0.9349, 0.7729, 0.8627)  2 Al 2.66-2.67, 2 Si 2.75-2.94, 1 Hf 2.92
Al (0.0000, 0.0000, 0.0000)  6 Hf 2.66
Al (0.0000, 0.0000, 0.5000)  6 Hf 2.66
Al (0.0000, 0.5000, 0.0000)  6 Hf 2.66
Al (0.0000, 0.5000, 0.5000)  6 Hf 2.66
Al (0.1250, 0.7500, 0.8750)  4 Hf 2.67
Al (0.1250, 0.8750, 0.2500)  4 Hf 2.67
Al (0.2500, 0.1250, 0.8750)  4 Hf 2.67
Al (0.2500, 0.6250, 0.3750)  4 Hf 2.67
Al (0.3750, 0.2500, 0.6250)  4 Hf 2.67
Al (0.3750, 0.6250, 0.7500)  4 Hf 2.67
Al (0.5000, 0.0000, 0.0000)  6 Hf 2.66
Al (0.5000, 0.0000, 0.5000)  6 Hf 2.66
Al (0.5000, 0.5000, 0.0000)  6 Hf 2.66
Al (0.5000, 0.5000, 0.5000)  6 Hf 2.66
Al (0.6250, 0.3750, 0.2500)  4 Hf 2.67
Al (0.6250, 0.7500, 0.3750)  4 Hf 2.67
Al (0.7500, 0.3750, 0.6250)  4 Hf 2.67
Al (0.7500, 0.8750, 0.1250)  4 Hf 2.67
Al (0.8750, 0.1250, 0.7500)  4 Hf 2.67
Al (0.8750, 0.2500, 0.1250)  4 Hf 2.67
Si (0.1250, 0.2500, 0.3750)  8 Hf 2.75-2.94
Si (0.1250, 0.3750, 0.7500)  8 Hf 2.75-2.94
Si (0.2500, 0.3750, 0.1250)  8 Hf 2.75-2.94
Si (0.2500, 0.8750, 0.6250)  8 Hf 2.75-2.94
Si (0.3750, 0.1250, 0.2500)  8 Hf 2.75-2.94
Si (0.3750, 0.7500, 0.1250)  8 Hf 2.75-2.94
Si (0.6250, 0.2500, 0.8750)  8 Hf 2.75-2.94
Si (0.6250, 0.8750, 0.7500)  8 Hf 2.75-2.94
Si (0.7500, 0.1250, 0.3750)  8 Hf 2.75-2.94
Si (0.7500, 0.6250, 0.8750)  8 Hf 2.75-2.94
Si (0.8750, 0.6250, 0.2500)  8 Hf 2.75-2.94
Si (0.8750, 0.7500, 0.6250)  8 Hf 2.75-2.94


# 2
Hf2Al6Si after structural relaxation. Source: the Alexandria database, functional PBE.

Computed properties:
Energy ... -50.30 eV/f.u.
E_form (uncorrected) ... -0.28 eV per atom

a b c (Å): 6.9223 6.9223 6.3896
angles (deg): 110.81 110.81 33.05
Closest atoms and distances in Å follow each position.
Element x y z (fractional)
Hf (0.0527, 0.0527, 0.2984)  2 Si 2.65, 8 Al 2.91-2.96
Hf (0.9473, 0.9473, 0.7016)  2 Si 2.65, 8 Al 2.91-2.96
Al (0.1761, 0.1761, 0.0045)  8 Al 2.80-3.01, 2 Hf 2.91-2.93, 2 Si 3.05
Al (0.2761, 0.2761, 0.6519)  5 Al 2.67-2.97, 3 Hf 2.93-2.99, 1 Si 2.98
Al (0.3948, 0.3948, 0.3388)  7 Al 2.79-3.02, 4 Hf 2.92-2.96, 1 Si 2.98
Al (0.6052, 0.6052, 0.6612)  7 Al 2.79-3.02, 4 Hf 2.92-2.96, 1 Si 2.98
Al (0.7239, 0.7239, 0.3481)  5 Al 2.67-2.97, 3 Hf 2.93-2.99, 1 Si 2.98
Al (0.8239, 0.8239, 0.9955)  8 Al 2.80-3.01, 2 Hf 2.91-2.93, 2 Si 3.05
Si (0.5000, 0.5000, 0.0000)  4 Hf 2.65


# 3
Hf2AlSi after structural relaxation. Source: the Alexandria database, functional PBE.

Computed properties:
Energy ... -29.50 eV/f.u.
E_form (uncorrected) ... -0.11 eV per atom

a b c (Å): 5.9591 5.9591 5.9591
angles (deg): 103.69 103.69 121.79
Closest atoms and distances in Å follow each position.
Element x y z (fractional)
Hf (0.1122, 0.6250, 0.9872)  2 Si 2.64, 2 Al 2.77, 2 Hf 2.90
Hf (0.3750, 0.3622, 0.4872)  2 Si 2.64, 2 Al 2.77, 2 Hf 2.90
Hf (0.6378, 0.1250, 0.0128)  2 Si 2.64, 2 Al 2.77, 2 Hf 2.90
Hf (0.8750, 0.8878, 0.5128)  2 Si 2.64, 2 Al 2.77, 2 Hf 2.90
Al (0.2500, 0.7500, 0.5000)  4 Hf 2.77, 2 Si 2.90
Al (0.5000, 0.5000, 0.0000)  4 Hf 2.77, 2 Si 2.90
Si (0.0000, 0.0000, 0.0000)  4 Hf 2.64, 2 Al 2.90
Si (0.7500, 0.2500, 0.5000)  4 Hf 2.64, 2 Al 2.90


# 4
Hf2AlSi after structural relaxation. Source: the Alexandria database, functional PBE.

Computed properties:
Energy ... -31.57 eV/f.u.
E_form (uncorrected) ... -0.62 eV per atom

a b c (Å): 3.8368 5.3874 5.3874
angles (deg): 40.73 90.00 90.00
Closest atoms and distances in Å follow each position.
Element x y z (fractional)
Hf (0.0000, 0.0000, 0.0000)  3 Si 2.76-2.96, 4 Al 2.78
Hf (0.5000, 0.2955, 0.2955)  4 Si 2.77, 3 Al 2.78-2.95
Al (0.5000, 0.5704, 0.5704)  2 Si 2.48, 5 Hf 2.78
Si (0.0000, 0.7265, 0.7265)  2 Al 2.48, 5 Hf 2.76-2.77


# 5
Hf2AlSi after structural relaxation. Source: the Alexandria database, functional PBE.

Computed properties:
Energy ... -29.84 eV/f.u.
E_form (uncorrected) ... -0.19 eV per atom

a b c (Å): 4.6957 4.6957 4.6957
angles (deg): 60.00 60.00 60.00
Closest atoms and distances in Å follow each position.
Element x y z (fractional)
Hf (0.2500, 0.2500, 0.2500)  4 Al 2.88, 4 Si 2.88
Hf (0.7500, 0.7500, 0.7500)  4 Si 2.88, 4 Al 2.88
Al (0.0000, 0.0000, 0.0000)  8 Hf 2.88
Si (0.5000, 0.5000, 0.5000)  8 Hf 2.88


# 6
HfAl2Si2 after structural relaxation. Source: the Alexandria database, functional PBE.

Computed properties:
Energy ... -29.10 eV/f.u.
E_form (uncorrected) ... -0.16 eV per atom

a b c (Å): 6.9077 6.9077 3.5058
angles (deg): 90.00 90.00 90.00
Closest atoms and distances in Å follow each position.
Element x y z (fractional)
Hf (0.0000, 0.0000, 0.0000)  4 Si 2.72
Hf (0.5000, 0.5000, 0.0000)  4 Si 2.72
Al (0.1646, 0.3354, 0.5000)  6 Si 2.68-2.69
Al (0.3354, 0.8354, 0.5000)  6 Si 2.68-2.69
Al (0.6646, 0.1646, 0.5000)  6 Si 2.68-2.69
Al (0.8354, 0.6646, 0.5000)  6 Si 2.68-2.69
Si (0.1284, 0.6284, 0.0000)  1 Si 2.51, 6 Al 2.68-2.69, 2 Hf 2.72
Si (0.3716, 0.1284, 0.0000)  1 Si 2.51, 6 Al 2.68-2.69, 2 Hf 2.72
Si (0.6284, 0.8716, 0.0000)  1 Si 2.51, 6 Al 2.68-2.69, 2 Hf 2.72
Si (0.8716, 0.3716, 0.0000)  1 Si 2.51, 6 Al 2.68-2.69, 2 Hf 2.72


# 7
HfAlSi2Tc after structural relaxation. Source: the Alexandria database, functional PBE.

Computed properties:
Energy ... -28.42 eV/f.u.
E_form (uncorrected) ... 1.30 eV per atom

a b c (Å): 5.0197 5.0197 4.8499
angles (deg): 90.00 90.00 90.00
Closest atoms and distances in Å follow each position.
Element x y z (fractional)
Hf (0.0000, 0.0000, 0.0000)  2 Tc 2.42, 4 Si 2.51
Al (0.5000, 0.5000, 0.5000)  8 Si 3.49, 4 Tc 3.55
Si (0.0000, 0.5000, 0.0000)  2 Hf 2.51
Si (0.5000, 0.0000, 0.0000)  2 Hf 2.51
Tc (0.0000, 0.0000, 0.5000)  2 Hf 2.42


# 8
YHfAl2Si after structural relaxation. Source: the Alexandria database, functional PBE.

Computed properties:
Energy ... -23.18 eV/f.u.
E_form (uncorrected) ... 1.23 eV per atom

a b c (Å): 5.1125 5.1125 5.0047
angles (deg): 90.00 90.00 90.00
Closest atoms and distances in Å follow each position.
Element x y z (fractional)
Y (0.0000, 0.0000, 0.0000)  2 Si 2.50, 4 Al 2.56
Hf (0.5000, 0.5000, 0.5000)  8 Al 3.58, 4 Si 3.62
Al (0.0000, 0.5000, 0.0000)  2 Y 2.56
Al (0.5000, 0.0000, 0.0000)  2 Y 2.56
Si (0.0000, 0.0000, 0.5000)  2 Y 2.50


# 9
Sm3HfAl8 after structural relaxation. Source: the Alexandria database, functional PBE.

Computed properties:
Energy ... -59.59 eV/f.u.
ΔH_f (0 K) ... -0.46 eV per atom

a b c (Å): 9.6281 9.6281 9.6281
angles (deg): 33.48 33.48 33.48
Closest atoms and distances in Å follow each position.
Element x y z (fractional)
Sm (0.0000, 0.0000, 0.0000)  12 Al 3.19-3.25, 3 Hf 3.39, 1 Sm 3.42
Sm (0.1256, 0.1256, 0.1256)  12 Al 3.25-3.31, 4 Sm 3.40-3.42
Sm (0.5012, 0.5012, 0.5012)  12 Al 3.25-3.34, 1 Hf 3.39, 3 Sm 3.40
Hf (0.6256, 0.6256, 0.6256)  12 Al 3.19-3.25, 4 Sm 3.39
Al (0.0585, 0.5617, 0.5617)  6 Al 2.74-2.83
Al (0.0648, 0.0648, 0.5661)  6 Al 2.72-2.82
Al (0.0648, 0.5661, 0.0648)  6 Al 2.72-2.82
Al (0.3126, 0.3126, 0.3126)  6 Al 2.72-2.74
Al (0.5617, 0.0585, 0.5617)  6 Al 2.74-2.83
Al (0.5617, 0.5617, 0.0585)  6 Al 2.74-2.83
Al (0.5661, 0.0648, 0.0648)  6 Al 2.72-2.82
Al (0.8134, 0.8134, 0.8134)  6 Al 2.82-2.83


# 10
HfAlSn after structural relaxation. Source: the Alexandria database, functional PBE.

Computed properties:
Energy ... -18.09 eV/f.u.
ΔH_f (0 K) ... -0.13 eV per atom

a b c (Å): 8.7860 8.7860 8.7860
angles (deg): 28.09 28.09 28.09
Closest atoms and distances in Å follow each position.
Element x y z (fractional)
Hf (0.0651, 0.0651, 0.0651)  6 Al 2.90-3.02, 3 Sn 3.03
Hf (0.9349, 0.9349, 0.9349)  6 Al 2.90-3.02, 3 Sn 3.03
Al (0.3375, 0.3375, 0.3375)  3 Al 2.47
Al (0.6625, 0.6625, 0.6625)  3 Al 2.47
Sn (0.1982, 0.1982, 0.1982)  3 Sn 2.93, 3 Hf 3.03
Sn (0.8018, 0.8018, 0.8018)  3 Sn 2.93, 3 Hf 3.03